Here is an optimized crystal structure of TlCrP2O from the Alexandria database. Energies are from PBE+U.

Results
Relative energy among the computed polymorphs: 915.2 meV/atom
V: 22.5 A^3/atom
Total magnetic moment: 2.5 μB/cell
Crystal system: tetragonal

Cell: 5.192 5.192 4.180 Å, 90.00 90.00 90.00°
Site moments in Bohr magnetons follow the coordinates.
Fractional coordinates of all 5 atoms:
Cr: 0.500 0.500 0.500  4.27
Tl: 0.000 0.000 0.000  -0.01
O: 0.000 0.000 0.500  -0.27
P: 0.000 0.500 0.000  -0.42
P: 0.500 0.000 0.000  -0.42